DFT (PBE-GGA) results for an optimized crystal structure of Cs2PIF6.

As for the spin magnetization: 0.288 Bohr magnetons per cell. Its calculated volume is 525 Å³/cell. The calculation puts the total energy at -90.7 eV per cell.

Unit cell a=5.6380 b=5.6380 c=19.3556 alpha=81.63 beta=81.63 gamma=60.00
Closest atoms and distances in Å follow each position.
Atoms (fractional coordinates):
Cs1 0.8784 0.8784 0.3648  6 F 3.27
Cs2 0.1216 0.1216 0.6352  6 F 3.27
Cs3 0.7111 0.7111 0.8666  6 F 3.25
Cs4 0.2889 0.2889 0.1334  6 F 3.25
P1 0.0000 0.0000 0.0000  6 F 1.64
P2 0.5000 0.5000 0.5000  6 F 1.64
I1 0.5840 0.5840 0.2480  6 Cs 3.92-3.94, 6 F 4.09-4.24
I2 0.4160 0.4160 0.7520  6 Cs 3.92-3.94, 6 F 4.09-4.24
F1 0.7912 0.3792 0.4504  1 P 1.64
F2 0.3792 0.7912 0.4504  1 P 1.64
F3 0.3792 0.3792 0.4504  1 P 1.64
F4 0.2088 0.6208 0.5496  1 P 1.64
F5 0.6208 0.2088 0.5496  1 P 1.64
F6 0.6208 0.6208 0.5496  1 P 1.64
F7 0.7422 0.1537 0.9503  1 P 1.64
F8 0.1537 0.7422 0.9503  1 P 1.64
F9 0.1537 0.1537 0.9503  1 P 1.64
F10 0.2578 0.8463 0.0497  1 P 1.64
F11 0.8463 0.2578 0.0497  1 P 1.64
F12 0.8463 0.8463 0.0497  1 P 1.64